This record from Alexandria describes a geometry-optimized Na3CrRh structure. The functional is PBE.

Properties
Energy of formation (eV/atom): 1.0013
ΔE to the lowest computed polymorph (meV per atom): 0
Space group: Pm-3m (221)

Geometry as POSCAR:
```
Na3CrRh
1.0
-3.898 -2.728 2.360
3.535 -3.583 1.696
0.721 2.815 4.445
Na Rh Cr
3 1 1
direct
0.000 0.500 0.000
0.500 0.000 0.000
0.000 0.000 0.500
0.000 0.000 0.000
0.500 0.500 0.500
```